# 1
A PBEsol-optimized structure of CoTc. Source: Alexandria via LeMat-Bulk, functional meta-GGA SCAN.

Summary:
- density of states at the Fermi level (states/eV/cell) = 5.5
- formation enthalpy at 0 K (eV per atom) = 0.174
- final energy (eV for the cell shown) = -156.0
- E above lowest polymorph (eV per atom) = 0.113

abc: 2.583 4.835 6.137
angles: 103.82 90.00 105.49
Fractional positions:
Tc: 0.670 0.340 0.330
Tc: 0.044 0.088 0.613
Tc: 0.728 0.457 0.948
Co: 0.001 0.003 0.002
Co: 0.330 0.661 0.664
Co: 0.392 0.785 0.276

***

# 2
A PBEsol-optimized structure of SnHIO2. Source: Alexandria via LeMat-Bulk, functional meta-GGA SCAN.

Summary:
- density of states at the Fermi level (states/eV/cell) = 1.4
- final energy (eV for the cell shown) = -89.2

abc: 3.865 3.865 6.318
angles: 90.00 90.00 90.00
Fractional positions:
O: 0.500 0.000 0.000
O: 0.000 0.500 0.000
H: 0.500 0.500 0.500
Sn: 0.000 0.000 0.000
I: 0.000 0.000 0.500

***

# 3
A PBEsol-optimized structure of Zr3CrAg. Source: Alexandria via LeMat-Bulk, functional meta-GGA SCAN.

Summary:
- density of states at the Fermi level (states/eV/cell) = 5.5
- formation enthalpy at 0 K (eV per atom) = 1.016
- final energy (eV for the cell shown) = -136.8

abc: 5.052 5.052 5.052
angles: 90.00 90.00 90.00
Each line ends with the local moment (μB).
Fractional positions:
Cr: 0.500 0.500 0.500  4.05
Zr: 0.000 0.000 0.500  0.06
Zr: 0.500 0.000 0.000  0.06
Zr: 0.000 0.500 0.000  0.06
Ag: 0.000 0.000 0.000  0.05

***

Look up the density of states at the Fermi level of the third one. 5.5 states/eV/cell

***

final energy of number 3 (Zr3CrAg)? -136.8 eV for the cell shown

***

What did the second record say?
A PBEsol-optimized structure of SnHIO2. Source: Alexandria via LeMat-Bulk, functional meta-GGA SCAN.

Summary:
- density of states at the Fermi level (states/eV/cell) = 1.4
- final energy (eV for the cell shown) = -89.2

abc: 3.865 3.865 6.318
angles: 90.00 90.00 90.00
Fractional positions:
O: 0.500 0.000 0.000
O: 0.000 0.500 0.000
H: 0.500 0.500 0.500
Sn: 0.000 0.000 0.000
I: 0.000 0.000 0.500

***

Copy entry 1 word for word.
A PBEsol-optimized structure of CoTc. Source: Alexandria via LeMat-Bulk, functional meta-GGA SCAN.

Summary:
- density of states at the Fermi level (states/eV/cell) = 5.5
- formation enthalpy at 0 K (eV per atom) = 0.174
- final energy (eV for the cell shown) = -156.0
- E above lowest polymorph (eV per atom) = 0.113

abc: 2.583 4.835 6.137
angles: 103.82 90.00 105.49
Fractional positions:
Tc: 0.670 0.340 0.330
Tc: 0.044 0.088 0.613
Tc: 0.728 0.457 0.948
Co: 0.001 0.003 0.002
Co: 0.330 0.661 0.664
Co: 0.392 0.785 0.276